## BaSrTlAg (PBE)

Data for crystalline BaSrTlAg at its relaxed geometry.

Values from the calculation:
Energy relative to the elements ... -0.293 eV per atom
Fermi-level density of states ... 4.0 states/eV/f.u.

Cell: 5.829 5.829 5.829 Å, 60.00 60.00 60.00°
Atoms (fractional coordinates):
Ba: 0.000 0.000 0.000
Sr: 0.500 0.500 0.500
Tl: 0.250 0.250 0.250
Ag: 0.750 0.750 0.750